CsPrNiF6: optimized geometry, PBE with a Hubbard U.

a = 5.9610 Å, b = 5.8779 Å, c = 6.3853 Å
α = 89.69°, β = 89.23°, γ = 59.32°
Site moments in Bohr magnetons follow the coordinates.
Positions (direct):
F 0.5979 0.3644 0.6852  0.02
F 0.3701 0.6017 0.3168  0.01
Cs 0.0015 0.9958 0.0016  0.00
F 0.0295 0.6054 0.6813  0.01
F 0.0369 0.3671 0.3142  0.02
F 0.6039 0.0326 0.3181  0.01
Pr 0.6682 0.6623 0.5015  0.00
Ni 0.3326 0.3352 0.4994  1.79
F 0.3593 0.0356 0.6818  0.01

N(E_F)	0.00	states/eV per atom
total magnetic moment	1.90	μB per formula unit
final energy	-47.433	eV per cell
symmetry	P1 (1)